No. 1
This record from OQMD describes crystalline Cu28Te5 at its relaxed geometry. The functional is PBE.

Computed properties:
SG = P1
ΔE to the lowest computed polymorph = 34 kJ/mol of formula units

Cell lengths 6.783, 8.792, 17.962 Å; angles 87.10, 89.54, 89.23 degrees
Atoms (fractional coordinates):
1 Cu 0.000 0.000 0.000
2 Cu 0.000 0.499 0.996
3 Cu 0.065 0.892 0.244
4 Cu 0.068 0.392 0.240
5 Cu 0.069 0.762 0.930
6 Cu 0.077 0.247 0.927
7 Cu 0.118 0.307 0.488
8 Cu 0.140 0.149 0.176
9 Cu 0.140 0.649 0.176
10 Cu 0.141 0.796 0.488
11 Cu 0.205 0.052 0.419
12 Cu 0.207 0.546 0.416
13 Cu 0.211 0.906 0.111
14 Cu 0.215 0.407 0.108
15 Cu 0.276 0.300 0.352
16 Cu 0.280 0.801 0.353
17 Cu 0.287 0.164 0.042
18 Cu 0.287 0.661 0.042
19 Cu 0.352 0.054 0.287
20 Cu 0.353 0.556 0.286
21 Cu 0.355 0.921 0.980
22 Cu 0.361 0.416 0.974
23 Cu 0.424 0.811 0.219
24 Cu 0.425 0.310 0.219
25 Cu 0.433 0.682 0.909
26 Cu 0.441 0.163 0.908
27 Cu 0.481 0.214 0.465
28 Cu 0.489 0.696 0.464
29 Cu 0.498 0.067 0.154
30 Cu 0.498 0.567 0.154
31 Cu 0.561 0.962 0.400
32 Cu 0.568 0.457 0.393
33 Cu 0.570 0.822 0.087
34 Cu 0.571 0.323 0.086
35 Cu 0.635 0.213 0.331
36 Cu 0.636 0.716 0.331
37 Cu 0.643 0.576 0.020
38 Cu 0.646 0.077 0.021
39 Cu 0.708 0.971 0.265
40 Cu 0.711 0.472 0.263
41 Cu 0.715 0.831 0.957
42 Cu 0.717 0.326 0.954
43 Cu 0.781 0.582 0.885
44 Cu 0.782 0.229 0.197
45 Cu 0.782 0.729 0.197
46 Cu 0.805 0.071 0.885
47 Cu 0.845 0.131 0.446
48 Cu 0.853 0.616 0.444
49 Cu 0.855 0.985 0.133
50 Cu 0.858 0.486 0.130
51 Cu 0.922 0.879 0.377
52 Cu 0.923 0.378 0.373
53 Cu 0.930 0.742 0.064
54 Cu 0.932 0.243 0.063
55 Cu 0.991 0.135 0.310
56 Cu 0.992 0.636 0.309
57 Te 0.161 0.515 0.851
58 Te 0.241 0.544 0.564
59 Te 0.269 0.952 0.833
60 Te 0.309 0.018 0.562
61 Te 0.612 0.360 0.811
62 Te 0.652 0.427 0.540
63 Te 0.680 0.834 0.809
64 Te 0.761 0.863 0.522
65 Te 0.938 0.167 0.599
66 Te 0.983 0.211 0.774

=====

No. 2
This record from OQMD describes crystalline Cu10Te at its relaxed geometry. The functional is PBE.

Computed properties:
SG = P-1
ΔE to the lowest computed polymorph = 28 kJ/mol of formula units

Cell lengths 4.382, 13.281, 16.889 Å; angles 89.28, 86.94, 89.95 degrees
Atoms (fractional coordinates):
1 Cu 0.033 0.468 0.303
2 Cu 0.041 0.975 0.305
3 Cu 0.062 0.906 0.159
4 Cu 0.065 0.407 0.153
5 Cu 0.080 0.840 0.013
6 Cu 0.084 0.338 0.011
7 Cu 0.095 0.774 0.870
8 Cu 0.100 0.272 0.867
9 Cu 0.101 0.707 0.733
10 Cu 0.108 0.205 0.723
11 Cu 0.191 0.158 0.331
12 Cu 0.208 0.647 0.324
13 Cu 0.219 0.085 0.182
14 Cu 0.222 0.582 0.182
15 Cu 0.244 0.016 0.037
16 Cu 0.245 0.517 0.035
17 Cu 0.266 0.449 0.892
18 Cu 0.268 0.950 0.891
19 Cu 0.285 0.387 0.747
20 Cu 0.294 0.882 0.745
21 Cu 0.385 0.830 0.349
22 Cu 0.394 0.761 0.204
23 Cu 0.401 0.261 0.200
24 Cu 0.406 0.695 0.062
25 Cu 0.414 0.193 0.057
26 Cu 0.423 0.334 0.343
27 Cu 0.425 0.628 0.918
28 Cu 0.427 0.127 0.915
29 Cu 0.448 0.061 0.771
30 Cu 0.449 0.560 0.776
31 Cu 0.551 0.440 0.224
32 Cu 0.552 0.939 0.229
33 Cu 0.573 0.873 0.085
34 Cu 0.575 0.372 0.082
35 Cu 0.577 0.666 0.657
36 Cu 0.586 0.807 0.943
37 Cu 0.594 0.305 0.938
38 Cu 0.599 0.739 0.800
39 Cu 0.606 0.239 0.796
40 Cu 0.615 0.170 0.651
41 Cu 0.706 0.118 0.255
42 Cu 0.715 0.613 0.253
43 Cu 0.732 0.050 0.109
44 Cu 0.734 0.551 0.108
45 Cu 0.755 0.483 0.965
46 Cu 0.756 0.984 0.963
47 Cu 0.778 0.418 0.818
48 Cu 0.781 0.915 0.818
49 Cu 0.792 0.353 0.676
50 Cu 0.809 0.842 0.669
51 Cu 0.892 0.795 0.277
52 Cu 0.899 0.293 0.267
53 Cu 0.900 0.728 0.133
54 Cu 0.905 0.226 0.130
55 Cu 0.916 0.662 0.989
56 Cu 0.920 0.160 0.987
57 Cu 0.935 0.593 0.847
58 Cu 0.938 0.094 0.841
59 Cu 0.959 0.025 0.695
60 Cu 0.967 0.532 0.697
61 Te 0.084 0.682 0.579
62 Te 0.313 0.325 0.595
63 Te 0.476 0.986 0.607
64 Te 0.524 0.014 0.393
65 Te 0.687 0.675 0.405
66 Te 0.916 0.318 0.421

=====

No. 3
This record from OQMD describes crystalline Cu7Te4 at its relaxed geometry. The functional is PBE.

Computed properties:
SG = P-3m1
ΔE to the lowest computed polymorph = 17 kJ/mol of formula units

Cell lengths 8.359, 8.359, 23.304 Å; angles 90.00, 90.00, 120.00 degrees
Atoms (fractional coordinates):
1 Cu 0.012 0.506 0.445
2 Cu 0.170 0.340 0.522
3 Cu 0.170 0.830 0.522
4 Cu 0.333 0.667 0.412
5 Cu 0.340 0.170 0.478
6 Cu 0.494 0.506 0.445
7 Cu 0.494 0.988 0.445
8 Cu 0.506 0.012 0.555
9 Cu 0.506 0.494 0.555
10 Cu 0.660 0.830 0.522
11 Cu 0.667 0.333 0.588
12 Cu 0.830 0.170 0.478
13 Cu 0.830 0.660 0.478
14 Cu 0.988 0.494 0.555
15 Te 0.151 0.302 0.410
16 Te 0.151 0.849 0.410
17 Te 0.302 0.151 0.590
18 Te 0.333 0.667 0.584
19 Te 0.667 0.333 0.416
20 Te 0.698 0.849 0.410
21 Te 0.849 0.151 0.590
22 Te 0.849 0.698 0.590

=====

No. 4
This record from OQMD describes crystalline Cu17Te at its relaxed geometry. The functional is PBE.

Computed properties:
SG = P2_1/m
E_tot = -3.65 eV/atom

Cell lengths 4.387, 5.093, 31.169 Å; angles 90.00, 90.11, 90.00 degrees
Atoms (fractional coordinates):
1 Cu 0.000 0.000 0.000
2 Cu 0.000 0.001 0.202
3 Cu 0.000 0.499 0.202
4 Cu 0.000 0.500 0.000
5 Cu 0.000 0.501 0.798
6 Cu 0.000 0.999 0.798
7 Cu 0.164 0.750 0.269
8 Cu 0.165 0.250 0.067
9 Cu 0.165 0.250 0.866
10 Cu 0.166 0.750 0.865
11 Cu 0.167 0.750 0.067
12 Cu 0.333 0.501 0.134
13 Cu 0.333 0.501 0.933
14 Cu 0.333 0.999 0.134
15 Cu 0.333 0.999 0.933
16 Cu 0.335 0.501 0.732
17 Cu 0.335 0.999 0.732
18 Cu 0.497 0.250 0.200
19 Cu 0.498 0.250 0.799
20 Cu 0.499 0.250 0.000
21 Cu 0.501 0.750 0.000
22 Cu 0.502 0.750 0.201
23 Cu 0.503 0.750 0.800
24 Cu 0.665 0.001 0.268
25 Cu 0.665 0.499 0.268
26 Cu 0.667 0.001 0.067
27 Cu 0.667 0.001 0.866
28 Cu 0.667 0.499 0.067
29 Cu 0.667 0.499 0.866
30 Cu 0.833 0.250 0.933
31 Cu 0.834 0.250 0.135
32 Cu 0.835 0.750 0.134
33 Cu 0.835 0.750 0.933
34 Cu 0.836 0.250 0.731
35 Te 0.167 0.250 0.302
36 Te 0.833 0.750 0.698

=====

No. 5
This record from OQMD describes crystalline Cu9Te2 at its relaxed geometry. The functional is PBE.

Computed properties:
SG = P-3m1
ΔE to the lowest computed polymorph = 281 kJ/mol of formula units

Cell lengths 2.871, 2.871, 32.901 Å; angles 90.00, 90.00, 120.00 degrees
Atoms (fractional coordinates):
1 Cu 0.000 0.000 0.000
2 Cu 0.000 0.000 0.171
3 Cu 0.000 0.000 0.829
4 Cu 0.333 0.667 0.114
5 Cu 0.333 0.667 0.772
6 Cu 0.333 0.667 0.943
7 Cu 0.667 0.333 0.057
8 Cu 0.667 0.333 0.228
9 Cu 0.667 0.333 0.886
10 Te 0.333 0.667 0.303
11 Te 0.667 0.333 0.697

=====

No. 6
This record from OQMD describes crystalline Cu4Te at its relaxed geometry. The functional is PBE.

Computed properties:
SG = C2/m
ΔE to the lowest computed polymorph = 3 kJ/mol of formula units

Cell lengths 6.809, 6.809, 29.804 Å; angles 90.47, 90.47, 31.10 degrees
Atoms (fractional coordinates):
1 Cu 0.007 0.007 0.327
2 Cu 0.055 0.055 0.409
3 Cu 0.097 0.097 0.491
4 Cu 0.138 0.138 0.574
5 Cu 0.187 0.187 0.658
6 Cu 0.200 0.200 0.310
7 Cu 0.243 0.243 0.393
8 Cu 0.288 0.288 0.476
9 Cu 0.328 0.328 0.558
10 Cu 0.378 0.378 0.641
11 Cu 0.435 0.435 0.377
12 Cu 0.480 0.480 0.459
13 Cu 0.520 0.520 0.541
14 Cu 0.565 0.565 0.623
15 Cu 0.622 0.622 0.359
16 Cu 0.672 0.672 0.442
17 Cu 0.712 0.712 0.524
18 Cu 0.757 0.757 0.607
19 Cu 0.800 0.800 0.690
20 Cu 0.813 0.813 0.342
21 Cu 0.862 0.862 0.426
22 Cu 0.903 0.903 0.509
23 Cu 0.945 0.945 0.591
24 Cu 0.993 0.993 0.673
25 Te 0.202 0.202 0.810
26 Te 0.361 0.361 0.750
27 Te 0.395 0.395 0.284
28 Te 0.605 0.605 0.716
29 Te 0.639 0.639 0.250
30 Te 0.798 0.798 0.190

=====

No. 7
This record from OQMD describes crystalline Cu13Te2 at its relaxed geometry. The functional is PBE.

Computed properties:
SG = P2_1/m
ΔE to the lowest computed polymorph = 68 kJ/mol of formula units

Cell lengths 7.261, 2.803, 30.485 Å; angles 90.00, 93.94, 90.00 degrees
Atoms (fractional coordinates):
1 Cu 0.016 0.250 0.391
2 Cu 0.048 0.250 0.746
3 Cu 0.085 0.750 0.530
4 Cu 0.122 0.250 0.314
5 Cu 0.159 0.250 0.668
6 Cu 0.189 0.750 0.451
7 Cu 0.257 0.250 0.588
8 Cu 0.295 0.750 0.373
9 Cu 0.326 0.750 0.729
10 Cu 0.361 0.250 0.509
11 Cu 0.408 0.750 0.295
12 Cu 0.428 0.750 0.647
13 Cu 0.468 0.250 0.432
14 Cu 0.532 0.750 0.568
15 Cu 0.572 0.250 0.353
16 Cu 0.592 0.250 0.705
17 Cu 0.639 0.750 0.491
18 Cu 0.674 0.250 0.271
19 Cu 0.705 0.250 0.627
20 Cu 0.743 0.750 0.412
21 Cu 0.811 0.250 0.549
22 Cu 0.841 0.750 0.332
23 Cu 0.878 0.750 0.686
24 Cu 0.915 0.250 0.470
25 Cu 0.952 0.750 0.254
26 Cu 0.984 0.750 0.609
27 Te 0.241 0.250 0.226
28 Te 0.306 0.250 0.810
29 Te 0.694 0.750 0.190
30 Te 0.759 0.750 0.774

=====

No. 8
This record from OQMD describes crystalline Cu13Te4 at its relaxed geometry. The functional is PBE.

Computed properties:
SG = C2/m
E_tot = -3.45 eV/atom

Cell lengths 5.085, 5.085, 25.022 Å; angles 94.10, 94.10, 32.94 degrees
Atoms (fractional coordinates):
1 Cu 0.000 0.000 0.000
2 Cu 0.051 0.051 0.898
3 Cu 0.106 0.106 0.795
4 Cu 0.263 0.263 0.135
5 Cu 0.316 0.316 0.034
6 Cu 0.366 0.366 0.932
7 Cu 0.423 0.423 0.829
8 Cu 0.577 0.577 0.171
9 Cu 0.634 0.634 0.068
10 Cu 0.684 0.684 0.966
11 Cu 0.737 0.737 0.865
12 Cu 0.894 0.894 0.205
13 Cu 0.949 0.949 0.102
14 Te 0.212 0.212 0.259
15 Te 0.439 0.439 0.362
16 Te 0.561 0.561 0.638
17 Te 0.788 0.788 0.741